{
  "formula": "Ag12Au7F",
  "functional": "PBE",
  "state": "optimized geometry",
  "lattice_angstrom": [[7.143, 0.146, -1.621], [-2.060, 6.841, -1.621], [0.106, 0.146, 7.324]],
  "species": ["Ag", "Ag", "Ag", "Ag", "Ag", "Ag", "Ag", "Ag", "Ag", "Ag", "Ag", "Ag", "Au", "Au", "Au", "Au", "Au", "Au", "Au", "F"],
  "fractional_positions": [[0.332, 0.079, 0.334], [0.499, 0.759, 0.240], [0.759, 0.240, 0.499], [0.079, 0.334, 0.332], [0.666, 0.668, 0.921], [0.334, 0.332, 0.079], [0.760, 0.501, 0.241], [0.668, 0.921, 0.666], [0.921, 0.666, 0.668], [0.240, 0.499, 0.759], [0.241, 0.760, 0.501], [0.501, 0.241, 0.760], [0.500, 0.500, 0.500], [0.903, 0.318, 0.902], [0.318, 0.902, 0.903], [0.097, 0.682, 0.098], [0.902, 0.903, 0.318], [0.098, 0.097, 0.682], [0.682, 0.098, 0.097], [0.000, 0.000, 0.000]],
  "energy_ev_per_atom": -2.990,
  "sg": "R-3, No. 148",
  "magnetic_moment_mub_per_cell": 0.00,
  "raw_formation_energy_ev_per_atom": -0.038
}